# 1
A crystal of K3GeBr relaxed with PBEsol. Source: Alexandria, functional meta-GGA SCAN.

Lattice parameters (Å, degrees): 6.069 6.069 6.069 90.00 90.00 90.00
Sites, in units of the cell vectors:
K  0.000  0.000  0.500
K  0.000  0.500  0.000
K  0.500  0.000  0.000
Ge  0.500  0.500  0.500
Br  0.000  0.000  0.000

Values from the calculation:
E_form (uncorrected)	-489	meV per atom
magnetization	2.00	μB per formula unit
D(E_F)	2.666	states/eV/cell



# 2
A crystal of Ag3PtRh relaxed with PBEsol. Source: Alexandria, functional meta-GGA SCAN.

Lattice parameters (Å, degrees): 4.892 4.892 4.892 90.00 90.00 90.00
Sites, in units of the cell vectors:
Ag  0.000  0.000  0.500
Ag  0.000  0.500  0.000
Ag  0.500  0.000  0.000
Pt  0.000  0.000  0.000
Rh  0.500  0.500  0.500

Values from the calculation:
magnetization	1.93	μB per formula unit
DFT formation energy	1.32	eV/atom
D(E_F)	2.326	states/eV/cell



# 3
A crystal of BePbI3 relaxed with PBEsol. Source: Alexandria, functional meta-GGA SCAN.

Lattice parameters (Å, degrees): 6.085 6.085 6.085 90.00 90.00 90.00
Sites, in units of the cell vectors:
Be  0.000  0.000  0.000
Pb  0.500  0.500  0.500
I  0.000  0.500  0.500
I  0.500  0.000  0.500
I  0.500  0.500  0.000

Values from the calculation:
E_form (uncorrected)	439	meV per atom
magnetization	0.83	μB per formula unit
D(E_F)	1.727	states/eV/cell



# 4
A crystal of SrTi4Cu3O12 relaxed with PBEsol. Source: Alexandria, functional meta-GGA SCAN.

Lattice parameters (Å, degrees): 6.413 6.413 6.413 109.47 109.47 109.47
Sites, in units of the cell vectors:
Sr  0.000  0.000  0.000
Ti  0.000  0.000  0.500
Ti  0.000  0.500  0.000
Ti  0.500  0.000  0.000
Ti  0.500  0.500  0.500
Cu  0.000  0.500  0.500
Cu  0.500  0.000  0.500
Cu  0.500  0.500  0.000
O  0.127  0.306  0.822
O  0.178  0.484  0.306
O  0.178  0.873  0.694
O  0.306  0.178  0.484
O  0.306  0.822  0.127
O  0.484  0.306  0.178
O  0.516  0.694  0.822
O  0.694  0.178  0.873
O  0.694  0.822  0.516
O  0.822  0.127  0.306
O  0.822  0.516  0.694
O  0.873  0.694  0.178

Values from the calculation:
E_form (uncorrected)	-2594	meV per atom
magnetization	3.00	μB per formula unit



# 5
A crystal of AlRe2W relaxed with PBEsol. Source: Alexandria, functional meta-GGA SCAN.

Lattice parameters (Å, degrees): 3.102 3.102 6.064 90.00 90.00 90.00
Sites, in units of the cell vectors:
Al  0.000  0.000  0.000
Re  0.500  0.500  0.247
Re  0.500  0.500  0.753
W  0.000  0.000  0.500

Values from the calculation:
magnetization	0.00	μB per formula unit
DFT formation energy	-0.23	eV/atom
D(E_F)	2.084	states/eV/cell



# 6
A crystal of Ce9SmO20 relaxed with PBEsol. Source: Alexandria, functional meta-GGA SCAN.

Lattice parameters (Å, degrees): 6.619 7.641 8.544 102.92 97.43 106.77
Sites, in units of the cell vectors:
Ce  0.000  0.000  0.000
Ce  0.200  0.400  0.399
Ce  0.200  0.899  0.399
Ce  0.398  0.799  0.800
Ce  0.400  0.300  0.801
Ce  0.600  0.700  0.199
Ce  0.602  0.201  0.200
Ce  0.800  0.101  0.601
Ce  0.800  0.600  0.601
Sm  0.000  0.500  0.000
O  0.050  0.730  0.847
O  0.051  0.219  0.846
O  0.148  0.674  0.549
O  0.150  0.175  0.548
O  0.254  0.126  0.250
O  0.256  0.628  0.255
O  0.352  0.075  0.951
O  0.356  0.577  0.948
O  0.448  0.023  0.649
O  0.448  0.525  0.649
O  0.552  0.475  0.351
O  0.552  0.977  0.351
O  0.644  0.423  0.052
O  0.648  0.925  0.049
O  0.744  0.372  0.745
O  0.746  0.874  0.750
O  0.850  0.825  0.452
O  0.852  0.326  0.451
O  0.949  0.781  0.154
O  0.950  0.270  0.153

Values from the calculation:
E_form (uncorrected)	-3687	meV per atom
magnetization	0.00	μB per formula unit
D(E_F)	26.346	states/eV/cell